This record from Alexandria describes crystalline Zr3TlF at its relaxed geometry. The functional is GGA-PBE.

Results
- formation energy (no corrections) (meV/atom) = 1113
- Fermi-level density of states (states/eV/f.u.) = 6.43
- SG = No. 221

a = 5.4721 Å, b = 5.4721 Å, c = 5.4721 Å
α = 90.00°, β = 90.00°, γ = 90.00°
Positions (direct):
Zr (0.0000, 0.0000, 0.5000)
Zr (0.0000, 0.5000, 0.0000)
Zr (0.5000, 0.0000, 0.0000)
Tl (0.0000, 0.0000, 0.0000)
F (0.5000, 0.5000, 0.5000)